Below is a relaxed structure of YReOs2, with properties calculated at the PBE level.

The structure belongs to space group Fm-3m (No. 225); the cell edges are 6.4667, 6.4667 and 6.4667 Å and the angles 90.00°, 90.00° and 90.00°. The asymmetric unit holds Y at (0.0000, 0.0000, 0.0000), Re at (0.0000, 0.0000, 0.5000) and Os at (0.2500, 0.2500, 0.2500).

As for the energy above the most stable polymorph in this dataset: 0.299 eV per atom.

---

Below is a relaxed structure of YReOs2, with properties calculated at the PBE level.

The structure belongs to space group Pm (No. 6); the cell edges are 2.9229, 4.5882 and 5.1339 Å and the angles 90.00°, 98.90° and 90.00°. The asymmetric unit holds Y at (0.0000, 0.0000, 0.0000), Re at (0.2361, 0.5000, 0.6427), Os at (0.5686, 0.5000, 0.1861) and Os at (0.6165, 0.0000, 0.4913).

As for the energy above the most stable polymorph in this dataset: 0.187 eV per atom.

---

Below is a relaxed structure of Y2ReOs, with properties calculated at the PBE level.

The structure belongs to space group F-43m (No. 216); the cell edges are 6.7563, 6.7563 and 6.7563 Å and the angles 90.00°, 90.00° and 90.00°. The asymmetric unit holds Y at (0.0000, 0.0000, 0.0000), Y at (0.2500, 0.2500, 0.2500), Re at (0.0000, 0.0000, 0.5000) and Os at (0.2500, 0.2500, 0.7500).

---

Below is a relaxed structure of Y2ReOs, with properties calculated at the PBE level.

The structure belongs to space group Immm (No. 71); the cell edges are 3.4058, 4.9987 and 9.2005 Å and the angles 90.00°, 90.00° and 90.00°. The asymmetric unit holds Y at (0.0000, 0.0000, 0.2471), Re at (0.0000, 0.5000, 0.0000) and Os at (0.0000, 0.5000, 0.5000).

---

Below is a relaxed structure of YRe2Os, with properties calculated at the PBE level.

The structure belongs to space group P4/mmm (No. 123); the cell edges are 2.8398, 2.8398 and 8.5486 Å and the angles 90.00°, 90.00° and 90.00°. The asymmetric unit holds Y at (0.0000, 0.0000, 0.0000), Re at (0.5000, 0.5000, 0.2865) and Os at (0.0000, 0.0000, 0.5000).

As for the energy above the most stable polymorph in this dataset: 0.077 eV per atom.

---

Below is a relaxed structure of YRe2Os, with properties calculated at the PBE level.

The structure belongs to space group P4/mmm (No. 123); the cell edges are 3.9132, 3.9132 and 4.5145 Å and the angles 90.00°, 90.00° and 90.00°. The asymmetric unit holds Y at (0.0000, 0.0000, 0.0000), Re at (0.0000, 0.5000, 0.5000) and Os at (0.5000, 0.5000, 0.0000).

As for the energy above the most stable polymorph in this dataset: 0.339 eV per atom.

---

Below is a relaxed structure of Y2ReOs, with properties calculated at the PBE level.

The structure belongs to space group R3m (No. 160, hexagonal axes); the cell edges are 3.0783, 3.0783 and 30.3476 Å and the angles 90.00°, 90.00° and 120.00°. The asymmetric unit holds Y at (0.0000, 0.0000, 0.0000), Y at (0.0000, 0.0000, 0.2277), Re at (0.0000, 0.0000, 0.4782) and Os at (0.0000, 0.0000, 0.7483).

---

Below is a relaxed structure of Y2ReOs, with properties calculated at the PBE level.

The structure belongs to space group Cmmm (No. 65); the cell edges are 3.4862, 4.9752 and 9.0958 Å and the angles 90.00°, 90.00° and 90.00°. The asymmetric unit holds Y at (0.0000, 0.0000, 0.2439), Re at (0.0000, 0.5000, 0.5000) and Os at (0.0000, 0.5000, 0.0000).

---

Below is a relaxed structure of YReOs2, with properties calculated at the PBE level.

The structure belongs to space group C2/m (No. 12); the cell edges are 9.5079, 2.8927 and 5.3132 Å and the angles 90.00°, 103.36° and 90.00°. The asymmetric unit holds Y at (0.0000, 0.0000, 0.0000), Re at (0.0000, 0.5000, 0.5000) and Os at (0.2343, 0.0000, 0.6930).

As for the energy above the most stable polymorph in this dataset: 0.216 eV per atom.

---

Below is a relaxed structure of YRe2Os, with properties calculated at the PBE level.

The structure belongs to space group R-3m (No. 166, hexagonal axes); the cell edges are 2.8544, 2.8544 and 28.9578 Å and the angles 90.00°, 90.00° and 120.00°. The asymmetric unit holds Y at (0.0000, 0.0000, 0.0000), Re at (0.0000, 0.0000, 0.2402) and Os at (0.0000, 0.0000, 0.5000).

As for the energy above the most stable polymorph in this dataset: 0.267 eV per atom.

---

Below is a relaxed structure of YRe2Os2, with properties calculated at the PBE level.

The structure belongs to space group P4/mbm (No. 127); the cell edges are 7.7731, 7.7731 and 2.7983 Å and the angles 90.00°, 90.00° and 90.00°. The asymmetric unit holds Y at (0.0000, 0.0000, 0.0000), Re at (0.1690, 0.3310, 0.5000) and Os at (0.1235, 0.6235, 0.0000).

As for the energy above the most stable polymorph in this dataset: 0.095 eV per atom.

---

Below is a relaxed structure of YRe2Os, with properties calculated at the PBE level.

The structure belongs to space group Cmmm (No. 65); the cell edges are 5.3556, 8.8875 and 2.8735 Å and the angles 90.00°, 90.00° and 90.00°. The asymmetric unit holds Y at (0.0000, 0.0000, 0.0000), Re at (0.2500, 0.2500, 0.5000) and Os at (0.0000, 0.5000, 0.0000).

As for the energy above the most stable polymorph in this dataset: 0.352 eV per atom.

---

Short version: energy = -158.4, -40.1, -141.1, -69.8, -41.4, -40.3, -103.0, -69.9, -79.9, -121.8, -106.6, -80.5 eV for the cell shown, in the order given.
Short version: formation energy = 441, 330, 333, 430, 309, 570, 571, 417, 358, 499, 101, 583 meV per atom, in the order given.